Entry from the Alexandria database: an optimized crystal structure of FePtNF2 (PBE with a Hubbard U).

a b c (Å): 4.5484 4.5484 3.7093
angles (deg): 90.00 90.00 90.00
Closest atoms and distances in Å follow each position.
Fractional coordinates of all 5 atoms:
1 Pt 0.0000 0.0000 0.0000  2 N 1.85
2 Fe 0.5000 0.5000 0.5000  8 F 2.93, 4 N 3.22
3 N 0.0000 0.0000 0.5000  2 Pt 1.85
4 F 0.5000 0.0000 0.0000  2 Pt 2.27
5 F 0.0000 0.5000 0.0000  2 Pt 2.27

Computed properties:
The value obtained for the spin magnetization is 4.15 μB per cell. The value obtained for the total DFT energy (no corrections) is -23.68 eV for the cell shown. The energy above the lowest structure with this stoichiometry comes out at 100 meV per atom.